1.
VASP calculation (GGA-PBE) on crystalline NaLa2CuGe at its relaxed geometry.

a b c (Å): 5.794 5.794 5.242
angles (deg): 90.00 90.00 90.00
Sites, in units of the cell vectors:
Na 0.000 0.000 0.000
La 0.000 0.500 0.500
La 0.500 0.000 0.500
Cu 0.500 0.500 0.000
Ge 0.000 0.000 0.500

- Mass density: 4.12 g cm⁻³
- DFT formation energy: 19 kJ/mol of atoms
- Total moment: 0.00 μB per formula unit
- Energy relative to the lowest polymorph listed for this composition: 0 meV per atom
- SG: No. 123
- Density of states at the Fermi level: 1.06 states/eV/atom
- E: -3.779 eV/atom


2.
VASP calculation (GGA-PBE) on crystalline NaLa2Cu3Ge4 at its relaxed geometry.

a b c (Å): 4.353 4.353 10.506
angles (deg): 90.00 90.00 90.00
Sites, in units of the cell vectors:
Na 0.000 0.000 0.000
La 0.000 0.500 0.736
La 0.500 0.000 0.264
Cu 0.000 0.500 0.382
Cu 0.500 0.000 0.618
Cu 0.500 0.500 0.000
Ge 0.000 0.000 0.500
Ge 0.000 0.500 0.153
Ge 0.500 0.000 0.847
Ge 0.500 0.500 0.500

- Mass density: 6.52 g cm⁻³
- DFT formation energy: -40 kJ/mol of atoms
- Total moment: 0.00 μB per formula unit
- SG: No. 115
- Density of states at the Fermi level: 0.41 states/eV/atom
- E: -4.604 eV/atom


3.
VASP calculation (GGA-PBE) on crystalline LaNdCu2Ge2 at its relaxed geometry.

a b c (Å): 4.325 4.325 7.987
angles (deg): 90.00 90.00 120.00
Sites, in units of the cell vectors:
La 0.000 0.000 0.000
Nd 0.000 0.000 0.500
Cu 0.333 0.667 0.261
Cu 0.667 0.333 0.739
Ge 0.333 0.667 0.745
Ge 0.667 0.333 0.255

- Mass density: 7.13 g cm⁻³
- DFT formation energy: -64 kJ/mol of atoms
- Total moment: 0.00 μB per formula unit
- SG: No. 164
- Density of states at the Fermi level: 0.21 states/eV/atom
- E: -5.189 eV/atom


4.
VASP calculation (GGA-PBE) on crystalline La2CuNi3Ge4 at its relaxed geometry.

a b c (Å): 4.237 4.237 9.805
angles (deg): 90.00 90.00 90.00
Sites, in units of the cell vectors:
La 0.000 0.500 0.249
La 0.500 0.000 0.751
Cu 0.500 0.500 0.000
Ni 0.000 0.000 0.000
Ni 0.000 0.500 0.621
Ni 0.500 0.000 0.379
Ge 0.000 0.000 0.500
Ge 0.000 0.500 0.868
Ge 0.500 0.000 0.132
Ge 0.500 0.500 0.500

- Mass density: 7.62 g cm⁻³
- DFT formation energy: -64 kJ/mol of atoms
- Total moment: 0.00 μB per formula unit
- SG: No. 115
- Density of states at the Fermi level: 0.61 states/eV/atom
- E: -5.645 eV/atom


5.
VASP calculation (GGA-PBE) on crystalline LaCuNiGe2 at its relaxed geometry.

a b c (Å): 5.836 5.836 5.836
angles (deg): 137.45 137.45 61.74
Sites, in units of the cell vectors:
La 0.000 0.000 0.000
Cu 0.250 0.750 0.500
Ni 0.750 0.250 0.500
Ge 0.370 0.370 0.000
Ge 0.630 0.630 0.000

- Mass density: 7.51 g cm⁻³
- DFT formation energy: -60 kJ/mol of atoms
- Total moment: 0.00 μB per formula unit
- SG: No. 119
- Density of states at the Fermi level: 0.62 states/eV/atom
- E: -5.426 eV/atom


6.
VASP calculation (GGA-PBE) on crystalline LaCuNi6Ge at its relaxed geometry.

a b c (Å): 7.247 7.247 7.247
angles (deg): 128.12 108.64 93.62
Sites, in units of the cell vectors:
La 0.482 0.232 0.250
La 0.518 0.768 0.750
Cu 0.000 0.000 0.500
Cu 0.000 0.500 0.000
Ni 0.112 0.435 0.297
Ni 0.112 0.815 0.677
Ni 0.171 0.921 0.250
Ni 0.231 0.481 0.750
Ni 0.362 0.185 0.797
Ni 0.362 0.565 0.177
Ni 0.638 0.435 0.823
Ni 0.638 0.815 0.203
Ni 0.769 0.519 0.250
Ni 0.829 0.079 0.750
Ni 0.888 0.185 0.323
Ni 0.888 0.565 0.703
Ge 0.000 0.000 0.000
Ge 0.500 0.000 0.500

- Mass density: 7.84 g cm⁻³
- DFT formation energy: 11 kJ/mol of atoms
- Total moment: 0.00 μB per formula unit
- SG: No. 74
- Density of states at the Fermi level: 1.02 states/eV/atom
- E: -5.253 eV/atom